--- P ---
A plane-wave DFT calculation with GGA-PBE was carried out for crystalline Se2SNF at its relaxed geometry.

Cell: 5.0396 5.0396 3.2463 Å, 90.00 90.00 90.00°
Fractional positions:
Se  0.0000  0.5000  0.0000
Se  0.5000  0.0000  0.0000
S  0.0000  0.0000  0.0000
N  0.0000  0.0000  0.5000
F  0.5000  0.5000  0.5000

Results
total magnetic moment = 0.000 μB per formula unit
symmetry = P4/mmm (123)
density of states at the Fermi level = 4.6 states/eV/f.u.

***

--- Q ---
A plane-wave DFT calculation with GGA-PBE was carried out for crystalline Se2SNF at its relaxed geometry.

Cell: 4.6839 4.6839 4.0129 Å, 90.00 90.00 90.00°
Fractional positions:
Se  0.0000  0.5000  0.0000
Se  0.5000  0.0000  0.0000
S  0.0000  0.0000  0.5000
N  0.5000  0.5000  0.5000
F  0.5000  0.5000  0.0000

Results
total magnetic moment = 2.332 μB per formula unit
symmetry = P4/mmm (123)
density of states at the Fermi level = 3.1 states/eV/f.u.

***

Need the numbers? Relative energies in eV/atom: P 0.000; Q 0.659.

***

--- P ---
A plane-wave DFT calculation with GGA-PBE was carried out for crystalline SeS2NF at its relaxed geometry.

Cell: 4.9727 4.9727 3.7272 Å, 90.00 90.00 90.00°
Fractional positions:
Se  0.0000  0.0000  0.0000
S  0.0000  0.5000  0.0000
S  0.5000  0.0000  0.0000
N  0.0000  0.0000  0.5000
F  0.5000  0.5000  0.5000

Results
total magnetic moment = 3.653 μB per formula unit
symmetry = P4/mmm (123)
density of states at the Fermi level = 3.4 states/eV/f.u.

***

--- Q ---
A plane-wave DFT calculation with GGA-PBE was carried out for crystalline SeS2NF at its relaxed geometry.

Cell: 4.6335 4.6335 3.7728 Å, 90.00 90.00 90.00°
Fractional positions:
Se  0.0000  0.0000  0.0000
S  0.0000  0.5000  0.5000
S  0.5000  0.0000  0.5000
N  0.5000  0.5000  0.0000
F  0.5000  0.5000  0.5000

Results
total magnetic moment = 1.432 μB per formula unit
symmetry = P4/mmm (123)
density of states at the Fermi level = 4.0 states/eV/f.u.

***

Need the numbers? Relative energies in eV/atom: P 0.000; Q 0.440.

***

--- P ---
A plane-wave DFT calculation with GGA-PBE was carried out for crystalline SiS2NF at its relaxed geometry.

Cell: 4.3473 4.3473 3.9315 Å, 90.00 90.00 90.00°
Fractional positions:
Si  0.0000  0.0000  0.0000
S  0.0000  0.5000  0.5000
S  0.5000  0.0000  0.5000
N  0.5000  0.5000  0.0000
F  0.5000  0.5000  0.5000

Results
total magnetic moment = 0.001 μB per formula unit
symmetry = P4/mmm (123)
density of states at the Fermi level = 2.7 states/eV/f.u.

***

--- Q ---
A plane-wave DFT calculation with GGA-PBE was carried out for crystalline SiS2NF at its relaxed geometry.

Cell: 4.6280 4.6280 3.3846 Å, 90.00 90.00 90.00°
Fractional positions:
Si  0.0000  0.0000  0.0000
S  0.0000  0.5000  0.0000
S  0.5000  0.0000  0.0000
N  0.0000  0.0000  0.5000
F  0.5000  0.5000  0.5000

Results
total magnetic moment = 2.278 μB per formula unit
symmetry = P4/mmm (123)
density of states at the Fermi level = 4.6 states/eV/f.u.

***

Need the numbers? Relative energies in eV/atom: P 1.101; Q 0.000.

***

--- P ---
A plane-wave DFT calculation with GGA-PBE was carried out for crystalline SnSN2F at its relaxed geometry.

Cell: 3.5694 3.5694 5.0728 Å, 90.00 90.00 90.00°
Fractional positions:
Sn  0.0000  0.0000  0.0000
S  0.5000  0.5000  0.5000
N  0.0000  0.5000  0.5000
N  0.5000  0.0000  0.5000
F  0.5000  0.5000  0.0000

Results
total magnetic moment = 0.000 μB per formula unit
symmetry = P4/mmm (123)
density of states at the Fermi level = 1.6 states/eV/f.u.

***

--- Q ---
A plane-wave DFT calculation with GGA-PBE was carried out for crystalline SnSN2F at its relaxed geometry.

Cell: 4.1989 4.1989 5.2353 Å, 90.00 90.00 90.00°
Fractional positions:
Sn  0.0000  0.0000  0.0000
S  0.0000  0.0000  0.5000
N  0.0000  0.5000  0.0000
N  0.5000  0.0000  0.0000
F  0.5000  0.5000  0.5000

Results
total magnetic moment = 5.013 μB per formula unit
symmetry = P4/mmm (123)
density of states at the Fermi level = 1.0 states/eV/f.u.

***

Need the numbers? Relative energies in eV/atom: P 0.000; Q 0.676.

***

--- P ---
A plane-wave DFT calculation with GGA-PBE was carried out for crystalline SnSN2F at its relaxed geometry.

Cell: 4.1844 4.1844 4.0231 Å, 90.00 90.00 90.00°
Fractional positions:
Sn  0.0000  0.0000  0.0000
S  0.5000  0.5000  0.5000
N  0.0000  0.5000  0.0000
N  0.5000  0.0000  0.0000
F  0.0000  0.0000  0.5000

Results
total magnetic moment = 0.000 μB per formula unit
symmetry = P4/mmm (123)
density of states at the Fermi level = 2.9 states/eV/f.u.

***

--- Q ---
A plane-wave DFT calculation with GGA-PBE was carried out for crystalline SnSN2F at its relaxed geometry.

Cell: 4.6649 4.6649 3.7984 Å, 90.00 90.00 90.00°
Fractional positions:
Sn  0.0000  0.0000  0.0000
S  0.5000  0.5000  0.0000
N  0.0000  0.5000  0.5000
N  0.5000  0.0000  0.5000
F  0.5000  0.5000  0.5000

Results
total magnetic moment = 5.013 μB per formula unit
symmetry = P4/mmm (123)
density of states at the Fermi level = 1.3 states/eV/f.u.

***

Need the numbers? Relative energies in eV/atom: P 0.000; Q 0.862.

***

--- P ---
A plane-wave DFT calculation with GGA-PBE was carried out for crystalline SnS2NF at its relaxed geometry.

Cell: 5.1428 5.1428 4.1049 Å, 90.00 90.00 90.00°
Fractional positions:
Sn  0.0000  0.0000  0.0000
S  0.0000  0.5000  0.0000
S  0.5000  0.0000  0.0000
N  0.0000  0.0000  0.5000
F  0.5000  0.5000  0.5000

Results
total magnetic moment = 4.079 μB per formula unit
symmetry = P4/mmm (123)
density of states at the Fermi level = 3.5 states/eV/f.u.

***

--- Q ---
A plane-wave DFT calculation with GGA-PBE was carried out for crystalline SnS2NF at its relaxed geometry.

Cell: 4.2374 4.2374 4.9545 Å, 90.00 90.00 90.00°
Fractional positions:
Sn  0.0000  0.0000  0.0000
S  0.0000  0.5000  0.5000
S  0.5000  0.0000  0.5000
N  0.5000  0.5000  0.0000
F  0.5000  0.5000  0.5000

Results
total magnetic moment = 2.314 μB per formula unit
symmetry = P4/mmm (123)
density of states at the Fermi level = 2.1 states/eV/f.u.

***

Need the numbers? Relative energies in eV/atom: P 0.000; Q 0.156.

***

--- P ---
A plane-wave DFT calculation with GGA-PBE was carried out for crystalline TaSNF2 at its relaxed geometry.

Cell: 4.8219 4.8219 3.1746 Å, 90.00 90.00 90.00°
Fractional positions:
Ta  0.0000  0.0000  0.0000
S  0.5000  0.5000  0.5000
N  0.5000  0.5000  0.0000
F  0.0000  0.5000  0.5000
F  0.5000  0.0000  0.5000

Results
total magnetic moment = 2.362 μB per formula unit
symmetry = P4/mmm (123)
density of states at the Fermi level = 3.5 states/eV/f.u.

***

--- Q ---
A plane-wave DFT calculation with GGA-PBE was carried out for crystalline TaSNF2 at its relaxed geometry.

Cell: 4.0447 4.0447 4.1194 Å, 90.00 90.00 90.00°
Fractional positions:
Ta  0.0000  0.0000  0.0000
S  0.5000  0.5000  0.5000
N  0.0000  0.0000  0.5000
F  0.0000  0.5000  0.0000
F  0.5000  0.0000  0.0000

Results
total magnetic moment = 0.000 μB per formula unit
symmetry = P4/mmm (123)
density of states at the Fermi level = 2.2 states/eV/f.u.

***

Need the numbers? Relative energies in eV/atom: P 1.517; Q 0.000.

***

--- P ---
A plane-wave DFT calculation with GGA-PBE was carried out for crystalline TaS2NF at its relaxed geometry.

Cell: 4.2948 4.2948 3.6560 Å, 90.00 90.00 90.00°
Fractional positions:
Ta  0.0000  0.0000  0.0000
S  0.0000  0.5000  0.5000
S  0.5000  0.0000  0.5000
N  0.5000  0.5000  0.0000
F  0.5000  0.5000  0.5000

Results
total magnetic moment = 0.132 μB per formula unit
symmetry = P4/mmm (123)
density of states at the Fermi level = 3.3 states/eV/f.u.

***

--- Q ---
A plane-wave DFT calculation with GGA-PBE was carried out for crystalline TaS2NF at its relaxed geometry.

Cell: 4.8195 4.8195 4.0185 Å, 90.00 90.00 90.00°
Fractional positions:
Ta  0.0000  0.0000  0.0000
S  0.0000  0.5000  0.0000
S  0.5000  0.0000  0.0000
N  0.0000  0.0000  0.5000
F  0.5000  0.5000  0.5000

Results
total magnetic moment = 2.876 μB per formula unit
symmetry = P4/mmm (123)
density of states at the Fermi level = 2.2 states/eV/f.u.

***

Need the numbers? Relative energies in eV/atom: P 1.260; Q 0.000.

***

--- P ---
A plane-wave DFT calculation with GGA-PBE was carried out for crystalline TcSNF2 at its relaxed geometry.

Cell: 4.6582 4.6582 3.2769 Å, 90.00 90.00 90.00°
Fractional positions:
Tc  0.0000  0.0000  0.0000
S  0.5000  0.5000  0.5000
N  0.5000  0.5000  0.0000
F  0.0000  0.5000  0.5000
F  0.5000  0.0000  0.5000

Results
total magnetic moment = 4.396 μB per formula unit
symmetry = P4/mmm (123)
density of states at the Fermi level = 1.0 states/eV/f.u.

***

--- Q ---
A plane-wave DFT calculation with GGA-PBE was carried out for crystalline TcSNF2 at its relaxed geometry.

Cell: 4.1851 4.1851 3.8167 Å, 90.00 90.00 90.00°
Fractional positions:
Tc  0.0000  0.0000  0.0000
S  0.5000  0.5000  0.5000
N  0.0000  0.0000  0.5000
F  0.0000  0.5000  0.0000
F  0.5000  0.0000  0.0000

Results
total magnetic moment = 2.468 μB per formula unit
symmetry = P4/mmm (123)
density of states at the Fermi level = 3.3 states/eV/f.u.

***

Need the numbers? Relative energies in eV/atom: P 0.611; Q 0.000.

***

--- P ---
A plane-wave DFT calculation with GGA-PBE was carried out for crystalline TeS2NF at its relaxed geometry.

Cell: 4.5737 4.5737 4.0087 Å, 90.00 90.00 90.00°
Fractional positions:
Te  0.0000  0.0000  0.0000
S  0.0000  0.5000  0.5000
S  0.5000  0.0000  0.5000
N  0.5000  0.5000  0.0000
F  0.5000  0.5000  0.5000

Results
total magnetic moment = 1.574 μB per formula unit
symmetry = P4/mmm (123)
density of states at the Fermi level = 3.6 states/eV/f.u.

***

--- Q ---
A plane-wave DFT calculation with GGA-PBE was carried out for crystalline TeS2NF at its relaxed geometry.

Cell: 5.1609 5.1609 4.0025 Å, 90.00 90.00 90.00°
Fractional positions:
Te  0.0000  0.0000  0.0000
S  0.0000  0.5000  0.0000
S  0.5000  0.0000  0.0000
N  0.0000  0.0000  0.5000
F  0.5000  0.5000  0.5000

Results
total magnetic moment = 3.127 μB per formula unit
symmetry = P4/mmm (123)
density of states at the Fermi level = 4.7 states/eV/f.u.

***

Need the numbers? Relative energies in eV/atom: P 0.302; Q 0.000.